VASP calculation (PBE) on a geometry-optimized NaCuH6Ir structure.

abc: 9.0963 3.7316 5.1541
angles: 90.00 99.89 90.00
Space group Cm (No. 8)
One atom of each set of equivalent atoms:
Na  0.0000  0.0000  0.0000 x2
Cu  0.2702  0.0000  0.4970 x2
H  0.0276  0.0000  0.4798 x2
H  0.1776  0.5000  0.2963 x2
H  0.1876  0.2883  0.7232 x4
H  0.4049  0.0000  0.2647 x2
H  0.4368  0.0000  0.7347 x2
Ir  0.0581  0.5000  0.5129 x2

Total magnetic moment ... 0.0 μB per cell
Final energy ... -0.2867 Ry per atom